# Np4MnSe7, optimized geometry, DFT PBE
# **N(E_F)**: 35.375 states/eV/f.u.
# **Energy**: -8.085 eV per atom
# **Formation energy without anion corrections**: -975 meV/atom
data_Np4MnSe7
_chemical_formula_sum 'Np8 Mn2 Se14'
_cell_length_a 13.155
_cell_length_b 3.993
_cell_length_c 11.821
_cell_angle_alpha 90.00
_cell_angle_beta 104.40
_cell_angle_gamma 90.00
_symmetry_space_group_name_H-M 'C 1 m 1'
_symmetry_Int_Tables_number 8
_symmetry_space_group_name_Hall 'C -2y'
loop_
_atom_site_label
_atom_site_type_symbol
_atom_site_fract_x
_atom_site_fract_y
_atom_site_fract_z
_atom_site_occupancy
Np1 Np 0.000 0.000 0.000 1
Np2 Np 0.096 0.500 0.364 1
Np3 Np 0.207 0.000 0.766 1
Np4 Np 0.399 0.500 0.542 1
Mn1 Mn 0.261 0.500 0.124 1
Se1 Se 0.059 0.500 0.610 1
Se2 Se 0.122 0.500 0.913 1
Se3 Se 0.165 0.000 0.209 1
Se4 Se 0.239 0.000 0.508 1
Se5 Se 0.356 0.000 0.031 1
Se6 Se 0.366 0.500 0.769 1
Se7 Se 0.430 0.500 0.317 1